Here is a relaxed Ir2Os crystal from Alexandria via LeMat-Bulk. Energies are from PBEsol. Values from VASP.

Geometry as Quantum ESPRESSO input:
```
&SYSTEM
  ibrav = 0, nat = 12, ntyp = 2
/
ATOMIC_SPECIES
Ir 192.22 Ir.upf
Os 190.23 Os.upf
CELL_PARAMETERS angstrom
2.726 0.000 0.000
0.000 14.179 0.000
0.000 0.000 4.354
ATOMIC_POSITIONS crystal
Ir 0.000 0.054 0.250
Ir 0.000 0.276 0.750
Ir 0.000 0.724 0.250
Ir 0.000 0.946 0.750
Ir 0.500 0.224 0.250
Ir 0.500 0.446 0.750
Ir 0.500 0.554 0.250
Ir 0.500 0.776 0.750
Os 0.000 0.388 0.250
Os 0.000 0.612 0.750
Os 0.500 0.112 0.750
Os 0.500 0.888 0.250
```

=====

Here is a relaxed Ir2Os crystal from Alexandria via LeMat-Bulk. Energies are from PBEsol. Values from VASP.

Geometry as Quantum ESPRESSO input:
```
&SYSTEM
  ibrav = 0, nat = 12, ntyp = 2
/
ATOMIC_SPECIES
Ir 192.22 Ir.upf
Os 190.23 Os.upf
CELL_PARAMETERS angstrom
9.901 0.000 0.000
0.000 2.727 0.000
-1.583 0.000 6.237
ATOMIC_POSITIONS crystal
Ir 0.028 0.000 0.310
Ir 0.141 0.500 0.032
Ir 0.359 0.000 0.968
Ir 0.472 0.500 0.690
Ir 0.528 0.500 0.310
Ir 0.641 0.000 0.032
Ir 0.859 0.500 0.968
Ir 0.972 0.000 0.690
Os 0.196 0.500 0.638
Os 0.304 0.000 0.362
Os 0.696 0.000 0.638
Os 0.804 0.500 0.362
```

=====

Here is a relaxed IrOs crystal from Alexandria via LeMat-Bulk. Energies are from PBEsol. Values from VASP.

Geometry as Quantum ESPRESSO input:
```
&SYSTEM
  ibrav = 0, nat = 4, ntyp = 2
/
ATOMIC_SPECIES
Ir 192.22 Ir.upf
Os 190.23 Os.upf
CELL_PARAMETERS angstrom
3.805 0.000 0.000
-1.903 3.296 0.000
0.000 0.000 5.292
ATOMIC_POSITIONS crystal
Ir 0.000 0.000 0.000
Ir 0.000 0.000 0.500
Os 0.333 0.667 0.250
Os 0.667 0.333 0.750
```

=====

Here is a relaxed IrOs crystal from Alexandria via LeMat-Bulk. Energies are from PBEsol. Values from VASP.

Geometry as Quantum ESPRESSO input:
```
&SYSTEM
  ibrav = 0, nat = 2, ntyp = 2
/
ATOMIC_SPECIES
Ir 192.22 Ir.upf
Os 190.23 Os.upf
CELL_PARAMETERS angstrom
2.695 0.000 0.000
0.000 2.695 0.000
0.000 0.000 3.850
ATOMIC_POSITIONS crystal
Ir 0.000 0.000 0.000
Os 0.500 0.500 0.500
```

=====

Here is a relaxed IrOs2 crystal from Alexandria via LeMat-Bulk. Energies are from PBEsol. Values from VASP.

Geometry as Quantum ESPRESSO input:
```
&SYSTEM
  ibrav = 0, nat = 6, ntyp = 2
/
ATOMIC_SPECIES
Ir 192.22 Ir.upf
Os 190.23 Os.upf
CELL_PARAMETERS angstrom
2.700 0.000 0.000
0.000 3.827 0.000
0.000 0.000 8.115
ATOMIC_POSITIONS crystal
Ir 0.000 0.000 0.000
Ir 0.500 0.500 0.500
Os 0.000 0.000 0.331
Os 0.000 0.000 0.669
Os 0.500 0.500 0.169
Os 0.500 0.500 0.831
```

=====

Here is a relaxed Ir2Os crystal from Alexandria via LeMat-Bulk. Energies are from PBEsol. Values from VASP.

Geometry as Quantum ESPRESSO input:
```
&SYSTEM
  ibrav = 0, nat = 6, ntyp = 2
/
ATOMIC_SPECIES
Ir 192.22 Ir.upf
Os 190.23 Os.upf
CELL_PARAMETERS angstrom
2.705 0.000 0.000
0.000 3.822 0.000
0.000 0.000 8.125
ATOMIC_POSITIONS crystal
Ir 0.000 0.000 0.164
Ir 0.000 0.000 0.836
Ir 0.500 0.500 0.336
Ir 0.500 0.500 0.664
Os 0.000 0.000 0.500
Os 0.500 0.500 0.000
```

=====

Here is a relaxed IrOs crystal from Alexandria via LeMat-Bulk. Energies are from PBEsol. Values from VASP.

Geometry as Quantum ESPRESSO input:
```
&SYSTEM
  ibrav = 0, nat = 6, ntyp = 2
/
ATOMIC_SPECIES
Ir 192.22 Ir.upf
Os 190.23 Os.upf
CELL_PARAMETERS angstrom
2.701 0.000 0.000
-1.350 2.339 0.000
0.000 0.000 13.284
ATOMIC_POSITIONS crystal
Ir 0.000 0.000 0.000
Ir 0.333 0.667 0.667
Ir 0.667 0.333 0.333
Os 0.000 0.000 0.500
Os 0.333 0.667 0.167
Os 0.667 0.333 0.833
```

=====

Here is a relaxed IrOs crystal from Alexandria via LeMat-Bulk. Energies are from PBEsol. Values from VASP.

Geometry as Quantum ESPRESSO input:
```
&SYSTEM
  ibrav = 0, nat = 12, ntyp = 2
/
ATOMIC_SPECIES
Ir 192.22 Ir.upf
Os 190.23 Os.upf
CELL_PARAMETERS angstrom
9.863 0.000 0.000
0.000 2.727 0.000
-1.552 0.000 6.242
ATOMIC_POSITIONS crystal
Ir 0.000 0.000 0.000
Ir 0.055 0.000 0.614
Ir 0.171 0.500 0.339
Ir 0.500 0.500 0.000
Ir 0.555 0.500 0.614
Ir 0.671 0.000 0.339
Os 0.226 0.500 0.949
Os 0.333 0.000 0.669
Os 0.389 0.000 0.277
Os 0.726 0.000 0.949
Os 0.833 0.500 0.669
Os 0.889 0.500 0.277
```

=====

Results for energy of formation: 0.025 0.029 1.089 0.052 0.063 0.003 0.047 0.011 (in eV per atom, following the order of the records).
Results for E_tot: -10.596 -10.592 -9.931 -10.967 -11.355 -10.618 -10.973 -11.008 (in eV/atom, following the order of the records).
Results for D(E_F): 10.07 10.23 6.20 1.63 4.83 4.26 3.78 8.79 (in states/eV per cell, following the order of the records).